1.
This record from Alexandria via LeMat-Bulk describes an optimized crystal structure of RbLaTi2. The functional is GGA-PBE.

Lattice parameters (Å, degrees): 5.3968 5.3968 5.3968 60.00 60.00 60.00
With the nearest neighbours (Å) after each atom.
Fractional coordinates of all 4 atoms:
Ti: 0.2500 0.2500 0.2500  4 La 3.30, 4 Rb 3.30
Ti: 0.7500 0.7500 0.7500  4 La 3.30, 4 Rb 3.30
Rb: 0.0000 0.0000 0.0000  8 Ti 3.30
La: 0.5000 0.5000 0.5000  8 Ti 3.30

* offset from the most stable computed form: 0.0 meV per atom
* energy of formation from the pure elements: 1.237 eV per atom
* Fermi-level density of states: 8.97 states/eV per cell
* symmetry: Fm-3m, No. 225


2.
This record from Alexandria via LeMat-Bulk describes an optimized crystal structure of Nd2CuSi2Rh5. The functional is GGA-PBE.

Lattice parameters (Å, degrees): 3.4503 9.9122 9.9122 90.00 90.00 90.00
With the nearest neighbours (Å) after each atom.
Fractional coordinates of all 20 atoms:
Nd: 0.0000 0.6750 0.1750  3 Si 2.81-3.01, 6 Rh 3.00-3.11
Nd: 0.0000 0.3250 0.8250  3 Si 2.81-3.01, 6 Rh 3.00-3.11
Nd: 0.0000 0.1750 0.3250  3 Si 2.81-3.01, 6 Rh 3.00-3.11
Nd: 0.0000 0.8250 0.6750  3 Si 2.81-3.01, 6 Rh 3.00-3.11
Cu: 0.0000 0.0000 0.0000  8 Rh 2.80
Cu: 0.0000 0.5000 0.5000  8 Rh 2.80
Si: 0.0000 0.1247 0.6247  6 Rh 2.44-2.46
Si: 0.0000 0.8753 0.3753  6 Rh 2.44-2.46
Si: 0.0000 0.6247 0.8753  6 Rh 2.44-2.46
Si: 0.0000 0.3753 0.1247  6 Rh 2.44-2.46
Rh: 0.5000 0.2119 0.0663  2 Si 2.44
Rh: 0.5000 0.7881 0.9337  2 Si 2.44
Rh: 0.5000 0.0663 0.7881  2 Si 2.44
Rh: 0.5000 0.7119 0.4337  2 Si 2.44
Rh: 0.5000 0.9337 0.2119  2 Si 2.44
Rh: 0.5000 0.2881 0.5663  2 Si 2.44
Rh: 0.5000 0.5663 0.7119  2 Si 2.44
Rh: 0.5000 0.4337 0.2881  2 Si 2.44
Rh: 0.5000 0.5000 0.0000  4 Si 2.46
Rh: 0.5000 0.0000 0.5000  4 Si 2.46

* ΔE_f (raw): -712 meV/atom
* Fermi-level density of states: 8.61 states/eV per cell
* symmetry: P4/mbm, No. 127


3.
This record from Alexandria via LeMat-Bulk describes an optimized crystal structure of CsNaIrF6. The functional is GGA-PBE.

Lattice parameters (Å, degrees): 7.9559 7.6325 7.8285 119.18 120.54 90.00
With the nearest neighbours (Å) after each atom.
Fractional coordinates of all 18 atoms:
Cs: 0.8992 0.6492 0.7984  1 F 2.80
Cs: 0.1008 0.3508 0.2016  1 F 2.80
Na: 0.5000 0.0000 0.5000  6 F 2.27-2.31
Na: 0.0000 0.0000 0.5000  6 F 2.27-2.31
Ir: 0.5000 0.5000 0.0000  6 F 1.94-2.02
Ir: 0.5000 0.0000 0.0000  6 F 1.94-2.02
F: 0.4397 0.6897 0.8793  2 Ir 2.02
F: 0.8489 0.0989 0.6978  2 Na 2.27
F: 0.7952 0.0942 0.2407  1 Ir 1.94
F: 0.4455 0.6465 0.2407  1 Ir 1.94
F: 0.4455 0.0942 0.2407  1 Ir 1.94
F: 0.7952 0.6465 0.2407  1 Ir 1.94
F: 0.5603 0.3103 0.1207  2 Ir 2.02
F: 0.1511 0.9011 0.3022  2 Na 2.27
F: 0.2048 0.9058 0.7593  1 Ir 1.94
F: 0.5545 0.3535 0.7593  1 Ir 1.94
F: 0.5545 0.9058 0.7593  1 Ir 1.94
F: 0.2048 0.3535 0.7593  1 Ir 1.94

* ΔE_f (raw): -2069 meV/atom
* Fermi-level density of states: 4.09 states/eV per cell
* symmetry: Imma, No. 74


4.
This record from Alexandria via LeMat-Bulk describes an optimized crystal structure of Mn2Ni. The functional is GGA-PBE.

Lattice parameters (Å, degrees): 4.7608 4.7608 5.9300 75.92 75.92 30.07
With the nearest neighbours (Å) after each atom.
Fractional coordinates of all 6 atoms:
Mn: 0.0004 0.0004 0.0038  8 Mn 2.47-2.53, 4 Ni 2.47-2.51
Mn: 0.6115 0.6115 0.2830  8 Mn 2.43-2.51, 4 Ni 2.48-2.51
Mn: 0.3328 0.3328 0.3293  9 Mn 2.45-2.51, 3 Ni 2.46-2.49
Mn: 0.6670 0.6670 0.6630  7 Mn 2.43-2.53, 5 Ni 2.47-2.50
Ni: 0.9451 0.9451 0.6097  4 Ni 2.47-2.51, 8 Mn 2.47-2.51
Ni: 0.2764 0.2764 0.9444  8 Mn 2.46-2.51, 4 Ni 2.47-2.51

* energy of formation from the pure elements: 0.058 eV per atom
* Fermi-level density of states: 8.15 states/eV per cell
* symmetry: Cm, No. 8


5.
This record from Alexandria via LeMat-Bulk describes an optimized crystal structure of Tl2AgIr. The functional is GGA-PBE.

Lattice parameters (Å, degrees): 4.8486 4.8486 4.8486 60.00 60.00 60.00
With the nearest neighbours (Å) after each atom.
Fractional coordinates of all 4 atoms:
Tl: 0.2500 0.2500 0.2500  4 Ir 2.97, 4 Ag 2.97
Tl: 0.7500 0.7500 0.7500  4 Ir 2.97, 4 Ag 2.97
Ir: 0.5000 0.5000 0.5000  8 Tl 2.97
Ag: 0.0000 0.0000 0.0000  8 Tl 2.97

* offset from the most stable computed form: 116.6 meV per atom
* energy of formation from the pure elements: 0.435 eV per atom
* Fermi-level density of states: 1.95 states/eV per cell
* symmetry: Fm-3m, No. 225


6.
This record from Alexandria via LeMat-Bulk describes an optimized crystal structure of Ca2IrSe4. The functional is GGA-PBE.

Lattice parameters (Å, degrees): 5.0378 5.0378 7.9728 71.58 71.58 90.00
With the nearest neighbours (Å) after each atom.
Fractional coordinates of all 7 atoms:
Ca: 0.3716 0.3716 0.2568  5 Se 2.83-3.11
Ca: 0.6284 0.6284 0.7432  5 Se 2.83-3.11
Ir: 0.0000 0.0000 0.0000  6 Se 2.47-2.52
Se: 0.1735 0.1735 0.6530  1 Ir 2.47
Se: 0.8265 0.8265 0.3470  1 Ir 2.47
Se: 0.0000 0.5000 0.0000  2 Ir 2.52
Se: 0.5000 0.0000 0.0000  2 Ir 2.52

* ΔE_f (raw): -803 meV/atom
* Fermi-level density of states: 9.34 states/eV per cell
* symmetry: I4/mmm, No. 139


Spin magnetization, respectively: 0.0; 0.0; 1.1; 0.4; 0.0; 0.0 μB per formula unit.
Uncorrected energy, respectively: -16.7; -136.7; -81.8; -47.9; -14.7; -32.4 eV/cell.